{
  "formula": "LaScP2",
  "functional": "GGA-PBE",
  "state": "optimized geometry",
  "ef_kj_per_mol_atoms": -131.61,
  "polymorph_energy_ev_per_atom": 0.112,
  "lattice_angstrom": [[1.977, 1.141, 6.822], [-1.977, 1.141, 6.822], [0.000, -2.283, 6.822]],
  "species": ["La", "Sc", "P", "P"],
  "fractional_positions": [[0.000, 0.000, 0.000], [0.828, 0.828, 0.828], [0.236, 0.236, 0.236], [0.424, 0.424, 0.424]]
}